VASP calculation (PBE with a Hubbard U) on a relaxed CoPbIO2 crystal.

Cell and atoms, written as POSCAR:
```
CoPbIO2
1.0
4.2087 0.0000 0.0000
0.0000 4.2087 0.0000
0.0000 0.0000 5.4028
Co Pb I O
1 1 1 2
Direct
0.0000 0.0000 0.0000 Co
0.5000 0.5000 0.5000 Pb
0.0000 0.0000 0.5000 I
0.0000 0.5000 0.0000 O
0.5000 0.0000 0.0000 O
```

spin magnetization = 3.42 μB per cell
E = -4.096 eV/atom